Record 1
Compound: LaSmN2
Source: Alexandria via LeMat-Bulk
Functional: PBE-GGA
Structure: optimized geometry

Results
* SG: No. 160
* ρ: 7539 kg/m³
* M_tot: 0.00 μB per atom
* energy relative to the elements, uncorrected: -1.1989 eV per atom

POSCAR file:
```
LaSmN2
1.0
1.796 1.037 6.252
-1.796 1.037 6.252
0.000 -2.074 6.252
La Sm N
1 1 2
direct
0.000 0.000 0.000
0.170 0.170 0.170
0.431 0.431 0.431
0.595 0.595 0.595
```

---

Record 2
Compound: BaNd3Cd4
Source: Alexandria via LeMat-Bulk
Functional: PBE-GGA
Structure: optimized geometry

Results
* SG: No. 123
* ρ: 6886 kg/m³
* Fermi-level density of states: 8.3 states/eV/f.u.
* M_tot: 0.07 μB per atom
* formation enthalpy at 0 K: -0.267 eV per atom

POSCAR file:
```
BaNd3Cd4
1.0
5.562 0.000 0.000
0.000 5.562 0.000
0.000 0.000 7.950
Ba Nd Cd
1 3 4
direct
0.000 0.000 0.000
0.000 0.000 0.500
0.500 0.500 0.000
0.500 0.500 0.500
0.000 0.500 0.269
0.000 0.500 0.731
0.500 0.000 0.269
0.500 0.000 0.731
```